The following is a DFT calculation (PBE) of a relaxed structure of SmGdTlRu.

abc: 5.1594 5.1594 5.1594
angles: 60.00 60.00 60.00
Closest atoms and distances in Å follow each position.
Atoms (fractional coordinates):
Ru 0.7500 0.7500 0.7500  4 Gd 3.16, 4 Sm 3.16
Tl 0.2500 0.2500 0.2500  4 Sm 3.16, 4 Gd 3.16
Gd 0.5000 0.5000 0.5000  4 Tl 3.16, 4 Ru 3.16
Sm 0.0000 0.0000 0.0000  4 Ru 3.16, 4 Tl 3.16

Output
Calculated formation energy, eV/atom: -0.2037
Uncorrected energy, Ry per atom: -0.57433
DOS(E_F), states/eV per cell: 2.26